# GGA-PBE NaGaTcH2, optimized geometry
# **Volume**: 76.7 Å³ per cell
# **DOS at the Fermi energy**: 0.76 states/eV/cell
# **Total moment**: 3.0 μB/f.u.
# **Total energy**: -16.18 eV per formula unit
data_NaGaTcH2
_chemical_formula_sum 'Na1 Ga1 Tc1 H2'
_symmetry_space_group_name_H-M 'P 4/m m m'
_symmetry_Int_Tables_number 123
_symmetry_space_group_name_Hall '-P 4 2'
_cell_length_a 3.6949
_cell_length_b 3.6949
_cell_length_c 5.6193
_cell_angle_alpha 90.00
_cell_angle_beta 90.00
_cell_angle_gamma 90.00
loop_
_atom_site_label
_atom_site_type_symbol
_atom_site_fract_x
_atom_site_fract_y
_atom_site_fract_z
Na1 Na 0.0000 0.0000 0.0000
Ga1 Ga 0.0000 0.0000 0.5000
Tc1 Tc 0.5000 0.5000 0.5000
H1 H 0.0000 0.5000 0.0000


# GGA-PBE LaYZn, optimized geometry
# **Volume**: 170.5 Å³ per cell
# **Energy relative to the elements**: -0.603 eV/f.u.
# **Energy above the most stable polymorph in this dataset**: 0 meV per atom
# **DOS at the Fermi energy**: 7.78 states/eV/cell
# **Total moment**: 0.0 μB/f.u.
data_LaYZn
_chemical_formula_sum 'La2 Y2 Zn2'
_symmetry_space_group_name_H-M 'I 4 m m'
_symmetry_Int_Tables_number 107
_symmetry_space_group_name_Hall 'I 4 -2'
_cell_length_a 3.6866
_cell_length_b 3.6866
_cell_length_c 12.5480
_cell_angle_alpha 90.00
_cell_angle_beta 90.00
_cell_angle_gamma 90.00
loop_
_atom_site_label
_atom_site_type_symbol
_atom_site_fract_x
_atom_site_fract_y
_atom_site_fract_z
La1 La 0.0000 0.0000 0.0000
Y1 Y 0.0000 0.0000 0.2867
Zn1 Zn 0.0000 0.0000 0.6585


# GGA-PBE NdCu2Pd, optimized geometry
# **Volume**: 228.9 Å³ per cell
# **Energy relative to the elements**: -1.244 eV/f.u.
# **Energy above the most stable polymorph in this dataset**: 91 meV per atom
# **DOS at the Fermi energy**: 7.54 states/eV/cell
# **Total moment**: 0.0 μB/f.u.
data_NdCu2Pd
_chemical_formula_sum 'Nd3 Cu6 Pd3'
_symmetry_space_group_name_H-M 'R -3 m'
_symmetry_Int_Tables_number 166
_symmetry_space_group_name_Hall '-R 3 2"'
_cell_length_a 4.3528
_cell_length_b 4.3528
_cell_length_c 13.9495
_cell_angle_alpha 90.00
_cell_angle_beta 90.00
_cell_angle_gamma 120.00
loop_
_atom_site_label
_atom_site_type_symbol
_atom_site_fract_x
_atom_site_fract_y
_atom_site_fract_z
Nd1 Nd 0.0000 0.0000 0.0000
Cu1 Cu 0.0000 0.0000 0.2070
Pd1 Pd 0.0000 0.0000 0.5000


# GGA-PBE SrSb2As, optimized geometry
# **Volume**: 451.1 Å³ per cell
# **E_form (uncorrected)**: -0.206 eV/atom
# **DOS at the Fermi energy**: 11.15 states/eV/cell
# **Total moment**: 0.0 μB/f.u.
data_SrSb2As
_chemical_formula_sum 'Sr4 Sb8 As4'
_symmetry_space_group_name_H-M 'F -4 3 m'
_symmetry_Int_Tables_number 216
_symmetry_space_group_name_Hall 'F -4 2 3'
_cell_length_a 7.6695
_cell_length_b 7.6695
_cell_length_c 7.6695
_cell_angle_alpha 90.00
_cell_angle_beta 90.00
_cell_angle_gamma 90.00
loop_
_atom_site_label
_atom_site_type_symbol
_atom_site_fract_x
_atom_site_fract_y
_atom_site_fract_z
Sr1 Sr 0.0000 0.0000 0.0000
Sb1 Sb 0.0000 0.0000 0.5000
Sb2 Sb 0.2500 0.2500 0.7500
As1 As 0.2500 0.2500 0.2500


# GGA-PBE Ba4TlBi4, optimized geometry
# **Volume**: 804.7 Å³ per cell
# **Energy relative to the elements**: -6.337 eV/f.u.
# **DOS at the Fermi energy**: 10.03 states/eV/cell
# **Total moment**: 0.0 μB/f.u.
data_Ba4TlBi4
_chemical_formula_sum 'Ba8 Tl2 Bi8'
_symmetry_space_group_name_H-M 'P 42/n m c'
_symmetry_Int_Tables_number 137
_cell_length_a 10.3738
_cell_length_b 10.3738
_cell_length_c 7.4775
_cell_angle_alpha 90.00
_cell_angle_beta 90.00
_cell_angle_gamma 90.00
loop_
_symmetry_equiv_pos_as_xyz
'x,y,z'
'-x,-y,-z'
'-y+1/2,x,z+1/2'
'y+1/2,-x,-z+1/2'
'-x+1/2,-y+1/2,z'
'x+1/2,y+1/2,-z'
'y,-x+1/2,z+1/2'
'-y,x+1/2,-z+1/2'
'x+1/2,-y,-z'
'-x+1/2,y,z'
'-y,-x,-z+1/2'
'y,x,z+1/2'
'-x,y+1/2,-z'
'x,-y+1/2,z'
'y+1/2,x+1/2,-z+1/2'
'-y+1/2,-x+1/2,z+1/2'
loop_
_atom_site_label
_atom_site_type_symbol
_atom_site_fract_x
_atom_site_fract_y
_atom_site_fract_z
Ba1 Ba 0.0118 0.2500 0.0454
Tl1 Tl 0.2500 0.7500 0.2500
Bi1 Bi 0.0054 0.7500 0.4718


# GGA-PBE KOs2Au, optimized geometry
# **Volume**: 213.5 Å³ per cell
# **Energy relative to the elements**: 4.081 eV/f.u.
# **Energy above the most stable polymorph in this dataset**: 476 meV per atom
# **DOS at the Fermi energy**: 9.92 states/eV/cell
# **Total moment**: 0.0 μB/f.u.
data_KOs2Au
_chemical_formula_sum 'K3 Os6 Au3'
_symmetry_space_group_name_H-M 'R -3 m'
_symmetry_Int_Tables_number 166
_symmetry_space_group_name_Hall '-R 3 2"'
_cell_length_a 2.7639
_cell_length_b 2.7639
_cell_length_c 32.2736
_cell_angle_alpha 90.00
_cell_angle_beta 90.00
_cell_angle_gamma 120.00
loop_
_atom_site_label
_atom_site_type_symbol
_atom_site_fract_x
_atom_site_fract_y
_atom_site_fract_z
K1 K 0.0000 0.0000 0.0000
Os1 Os 0.0000 0.0000 0.2425
Au1 Au 0.0000 0.0000 0.5000


# GGA-PBE Ba6TlAu2, optimized geometry
# **Volume**: 1557.0 Å³ per cell
# **Energy relative to the elements**: -3.905 eV/f.u.
# **DOS at the Fermi energy**: 37.16 states/eV/cell
# **Total moment**: 0.0 μB/f.u.
data_Ba6TlAu2
_chemical_formula_sum 'Ba24 Tl4 Au8'
_symmetry_space_group_name_H-M 'I m m m'
_symmetry_Int_Tables_number 71
_symmetry_space_group_name_Hall '-I 2 2'
_cell_length_a 10.9473
_cell_length_b 11.7505
_cell_length_c 12.1036
_cell_angle_alpha 90.00
_cell_angle_beta 90.00
_cell_angle_gamma 90.00
loop_
_atom_site_label
_atom_site_type_symbol
_atom_site_fract_x
_atom_site_fract_y
_atom_site_fract_z
Ba1 Ba 0.0000 0.1876 0.2451
Ba2 Ba 0.1899 0.5000 0.1634
Ba3 Ba 0.2211 0.3267 0.5000
Tl1 Tl 0.0000 0.0000 0.0000
Tl2 Tl 0.0000 0.0000 0.5000
Au1 Au 0.0000 0.3266 0.0000
Au2 Au 0.0000 0.5000 0.3779


# GGA-PBE Ho3CoB7, optimized geometry
# **Volume**: 493.5 Å³ per cell
# **Energy relative to the elements**: -6.471 eV/f.u.
# **DOS at the Fermi energy**: 9.97 states/eV/cell
# **Total moment**: 0.0 μB/f.u.
data_Ho3CoB7
_chemical_formula_sum 'Ho12 Co4 B28'
_symmetry_space_group_name_H-M 'C m c m'
_symmetry_Int_Tables_number 63
_symmetry_space_group_name_Hall '-C 2c 2'
_cell_length_a 3.3914
_cell_length_b 15.6560
_cell_length_c 9.2955
_cell_angle_alpha 90.00
_cell_angle_beta 90.00
_cell_angle_gamma 90.00
loop_
_atom_site_label
_atom_site_type_symbol
_atom_site_fract_x
_atom_site_fract_y
_atom_site_fract_z
Ho1 Ho 0.0000 0.1053 0.0609
Ho2 Ho 0.0000 0.2439 0.7500
Co1 Co 0.0000 0.0541 0.7500
B1 B 0.0000 0.2723 0.0328
B2 B 0.0000 0.3695 0.1527
B3 B 0.0000 0.4601 0.7500
B4 B 0.0000 0.4784 0.0975


# GGA-PBE CdAgPb, optimized geometry
# **Volume**: 315.1 Å³ per cell
# **Energy relative to the elements**: 0.198 eV/f.u.
# **DOS at the Fermi energy**: 6.31 states/eV/cell
# **Total moment**: 0.0 μB/f.u.
data_CdAgPb
_chemical_formula_sum 'Cd4 Ag4 Pb4'
_symmetry_space_group_name_H-M 'F -4 3 m'
_symmetry_Int_Tables_number 216
_symmetry_space_group_name_Hall 'F -4 2 3'
_cell_length_a 6.8049
_cell_length_b 6.8049
_cell_length_c 6.8049
_cell_angle_alpha 90.00
_cell_angle_beta 90.00
_cell_angle_gamma 90.00
loop_
_atom_site_label
_atom_site_type_symbol
_atom_site_fract_x
_atom_site_fract_y
_atom_site_fract_z
Cd1 Cd 0.0000 0.0000 0.0000
Ag1 Ag 0.2500 0.2500 0.7500
Pb1 Pb 0.0000 0.0000 0.5000


# GGA-PBE SmUPdS4, optimized geometry
# **Volume**: 294.2 Å³ per cell
# **E_form (uncorrected)**: -1.263 eV/atom
# **DOS at the Fermi energy**: 11.27 states/eV/cell
# **Total moment**: 1.4 μB/f.u.
data_SmUPdS4
_chemical_formula_sum 'Sm2 U2 Pd2 S8'
_symmetry_space_group_name_H-M 'P 1 21/m 1'
_symmetry_Int_Tables_number 11
_symmetry_space_group_name_Hall '-P 2yb'
_cell_length_a 6.4524
_cell_length_b 6.2209
_cell_length_c 7.6573
_cell_angle_alpha 90.00
_cell_angle_beta 106.81
_cell_angle_gamma 90.00
loop_
_atom_site_label
_atom_site_type_symbol
_atom_site_fract_x
_atom_site_fract_y
_atom_site_fract_z
Sm1 Sm 0.2248 0.2500 0.0517
U1 U 0.2333 0.2500 0.5568
Pd1 Pd 0.2359 0.7500 0.3219
S1 S 0.0326 0.5200 0.7436
S2 S 0.4628 0.7500 0.1224
S3 S 0.4706 0.7500 0.6212


# GGA-PBE TmFeC, optimized geometry
# **Volume**: 39.5 Å³ per cell
# **Energy relative to the elements**: -0.222 eV/f.u.
# **Energy above the most stable polymorph in this dataset**: 111 meV per atom
# **DOS at the Fermi energy**: 2.86 states/eV/cell
# **Total moment**: 0.0 μB/f.u.
data_TmFeC
_chemical_formula_sum 'Tm1 Fe1 C1'
_symmetry_space_group_name_H-M 'P -6 m 2'
_symmetry_Int_Tables_number 187
_symmetry_space_group_name_Hall 'P -6 2'
_cell_length_a 3.4021
_cell_length_b 3.4021
_cell_length_c 3.9367
_cell_angle_alpha 90.00
_cell_angle_beta 90.00
_cell_angle_gamma 120.00
loop_
_atom_site_label
_atom_site_type_symbol
_atom_site_fract_x
_atom_site_fract_y
_atom_site_fract_z
Tm1 Tm 0.0000 0.0000 0.0000
Fe1 Fe 0.3333 0.6667 0.5000
C1 C 0.6667 0.3333 0.5000


# GGA-PBE TmNi5Au, optimized geometry
# **Volume**: 389.2 Å³ per cell
# **Energy relative to the elements**: -2.019 eV/f.u.
# **DOS at the Fermi energy**: 35.96 states/eV/cell
# **Total moment**: 1.6 μB/f.u.
data_TmNi5Au
_chemical_formula_sum 'Tm4 Ni20 Au4'
_symmetry_space_group_name_H-M 'P n m a'
_symmetry_Int_Tables_number 62
_symmetry_space_group_name_Hall '-P 2ac 2n'
_cell_length_a 7.9305
_cell_length_b 4.8256
_cell_length_c 10.1698
_cell_angle_alpha 90.00
_cell_angle_beta 90.00
_cell_angle_gamma 90.00
loop_
_atom_site_label
_atom_site_type_symbol
_atom_site_fract_x
_atom_site_fract_y
_atom_site_fract_z
Tm1 Tm 0.2437 0.2500 0.0606
Ni1 Ni 0.0533 0.7500 0.1077
Ni2 Ni 0.0683 0.0013 0.3152
Ni3 Ni 0.0915 0.2500 0.5188
Ni4 Ni 0.1866 0.2500 0.7444
Au1 Au 0.1344 0.7500 0.8621


Q: Which value of total moment does entry 2 give?
A: 0.0 μB/f.u.


Q: Which value of total moment does entry 5 give?
A: 0.0 μB/f.u.